Record 1
Computed, not measured: a relaxed structure of CaHfNO2 at the GGA-PBE level of DFT.

D(E_F), states/eV/f.u.: 3.49
Calculated total energy, eV per atom: -6.403
Theoretical density, g/cm3: 6.42
Energy relative to the elements, uncorrected, eV per atom: -0.363

abc: 4.0838 4.0838 4.1003
angles: 90.00 90.00 90.00
Last column: nearest neighbours and their distance in Å.
Fractional positions:
Ca  0.0000  0.0000  0.0000  4 O 2.04, 2 N 2.05
Hf  0.5000  0.5000  0.5000  4 N 2.89, 8 O 2.89
N  0.0000  0.0000  0.5000  2 Ca 2.05
O  0.0000  0.5000  0.0000  2 Ca 2.04
O  0.5000  0.0000  0.0000  2 Ca 2.04

***

Record 2
Computed, not measured: a relaxed structure of La8Ho3Er3 at the GGA-PBE level of DFT.

D(E_F), states/eV/f.u.: 19.51
Formation enthalpy at 0 K, eV per atom: 0.10
Calculated total energy, eV per atom: -4.673
Theoretical density, g/cm3: 7.32

abc: 9.8218 9.8218 9.8218
angles: 146.39 111.29 78.70
Last column: nearest neighbours and their distance in Å.
Fractional positions:
La  0.0546  0.3931  0.6615  4 La 3.18-3.41
La  0.0740  0.2308  0.8432  6 La 3.18-3.56
La  0.2684  0.6069  0.6615  4 La 3.18-3.41
La  0.3875  0.2308  0.1568  6 La 3.18-3.56
La  0.6125  0.7692  0.8432  6 La 3.18-3.56
La  0.7316  0.3931  0.3385  4 La 3.18-3.41
La  0.9260  0.7692  0.1568  6 La 3.18-3.56
La  0.9454  0.6069  0.3385  4 La 3.18-3.41
Ho  0.3250  0.8250  0.5000  2 Er 3.46, 6 La 3.62-3.77
Ho  0.5000  0.5000  0.0000  4 Er 3.60, 4 Ho 3.89
Ho  0.6750  0.1750  0.5000  2 Er 3.46, 6 La 3.62-3.77
Er  0.0000  0.0000  0.0000  2 Er 3.33, 8 La 3.73
Er  0.3004  0.0000  0.3004  1 Er 3.33, 4 Ho 3.46-3.60, 4 La 3.62
Er  0.6996  0.0000  0.6996  1 Er 3.33, 4 Ho 3.46-3.60, 4 La 3.62

***

Record 3
Computed, not measured: a relaxed structure of Li2AlMo at the GGA-PBE level of DFT.

D(E_F), states/eV/f.u.: 3.83
Formation enthalpy at 0 K, eV per atom: 0.04
Calculated total energy, eV per atom: -4.563
Theoretical density, g/cm3: 3.48

abc: 2.6948 2.6948 8.9830
angles: 90.00 90.00 90.00
Last column: nearest neighbours and their distance in Å.
Fractional positions:
Li  0.0000  0.0000  0.0000  4 Li 2.69, 4 Al 2.88
Li  0.5000  0.5000  0.2836  4 Li 2.69, 4 Mo 2.96
Al  0.5000  0.5000  0.7590  4 Al 2.69, 4 Mo 2.77, 4 Li 2.88
Mo  0.0000  0.0000  0.5352  4 Mo 2.69, 4 Al 2.77, 4 Li 2.96

***

Record 4
Computed, not measured: a relaxed structure of HfTi2Pd9 at the GGA-PBE level of DFT.

D(E_F), states/eV/f.u.: 4.39
Formation enthalpy at 0 K, eV per atom: -0.71
Calculated total energy, eV per atom: -6.746
Theoretical density, g/cm3: 11.01

abc: 3.9581 3.9581 11.8560
angles: 90.00 90.00 90.00
Last column: nearest neighbours and their distance in Å.
Fractional positions:
Hf  0.0000  0.0000  0.0000  12 Pd 2.80-2.83
Ti  0.0000  0.0000  0.3366  12 Pd 2.77-2.80
Ti  0.0000  0.0000  0.6634  12 Pd 2.77-2.80
Pd  0.0000  0.5000  0.1712  8 Pd 2.78-2.83, 2 Ti 2.79, 2 Hf 2.83
Pd  0.0000  0.5000  0.5000  4 Ti 2.77, 8 Pd 2.78-2.80
Pd  0.0000  0.5000  0.8288  8 Pd 2.78-2.83, 2 Ti 2.79, 2 Hf 2.83
Pd  0.5000  0.0000  0.1712  8 Pd 2.78-2.83, 2 Ti 2.79, 2 Hf 2.83
Pd  0.5000  0.0000  0.5000  4 Ti 2.77, 8 Pd 2.78-2.80
Pd  0.5000  0.0000  0.8288  8 Pd 2.78-2.83, 2 Ti 2.79, 2 Hf 2.83
Pd  0.5000  0.5000  0.0000  4 Hf 2.80, 8 Pd 2.83
Pd  0.5000  0.5000  0.3355  8 Pd 2.78, 4 Ti 2.80
Pd  0.5000  0.5000  0.6645  8 Pd 2.78, 4 Ti 2.80

***

Record 5
Computed, not measured: a relaxed structure of NaInGe2S6 at the GGA-PBE level of DFT.

Calculated total energy, eV per atom: -4.269
Theoretical density, g/cm3: 3.10
Energy relative to the elements, uncorrected, eV per atom: -0.463

abc: 8.9418 8.9418 6.8129
angles: 104.79 104.79 88.44
Last column: nearest neighbours and their distance in Å.
Fractional positions:
Na  0.1188  0.8812  0.7500  6 S 2.75-2.95
Na  0.8812  0.1188  0.2500  6 S 2.75-2.95
In  0.2232  0.7768  0.2500  4 S 2.46-2.58
In  0.7768  0.2232  0.7500  4 S 2.46-2.58
Ge  0.2240  0.3745  0.7935  4 S 2.22-2.31
Ge  0.3745  0.2240  0.2935  4 S 2.22-2.31
Ge  0.6255  0.7760  0.7065  4 S 2.22-2.31
Ge  0.7760  0.6255  0.2065  4 S 2.22-2.31
S  0.0429  0.1853  0.6652  1 Ge 2.22
S  0.1248  0.6058  0.8945  1 Ge 2.24, 1 In 2.46
S  0.1853  0.0429  0.1652  1 Ge 2.22
S  0.3159  0.4278  0.5308  2 Ge 2.25-2.31
S  0.3942  0.8752  0.6055  1 Ge 2.24, 1 In 2.46
S  0.4278  0.3159  0.0308  2 Ge 2.25-2.31
S  0.5722  0.6841  0.9692  2 Ge 2.25-2.31
S  0.6058  0.1248  0.3945  1 Ge 2.24, 1 In 2.46
S  0.6841  0.5722  0.4692  2 Ge 2.25-2.31
S  0.8147  0.9571  0.8348  1 Ge 2.22
S  0.8752  0.3942  0.1055  1 Ge 2.24, 1 In 2.46
S  0.9571  0.8147  0.3348  1 Ge 2.22

***

Record 6
Computed, not measured: a relaxed structure of BeVCo2Re at the GGA-PBE level of DFT.

D(E_F), states/eV/f.u.: 3.19
Formation enthalpy at 0 K, eV per atom: 0.46
Calculated total energy, eV per atom: -7.440
Theoretical density, g/cm3: 10.39

abc: 3.7662 3.7662 4.0997
angles: 90.00 90.00 90.00
Last column: nearest neighbours and their distance in Å.
Fractional positions:
Be  0.0000  0.0000  0.0000  4 Co 1.88, 2 V 2.05
V  0.0000  0.0000  0.5000  2 Be 2.05
Co  0.0000  0.5000  0.0000  2 Be 1.88
Co  0.5000  0.0000  0.0000  2 Be 1.88
Re  0.5000  0.5000  0.5000  4 V 2.66, 8 Co 2.78

***

Record 7
Computed, not measured: a relaxed structure of Tb2Ho2Tm3 at the GGA-PBE level of DFT.

Energy relative to the lowest polymorph listed for this composition, meV/atom: 0
D(E_F), states/eV/f.u.: 9.58
Formation enthalpy at 0 K, eV per atom: 0.02
Calculated total energy, eV per atom: -4.525
Theoretical density, g/cm3: 8.94

abc: 3.5075 6.0810 10.5516
angles: 84.34 89.89 73.25
Last column: nearest neighbours and their distance in Å.
Fractional positions:
Tb  0.2141  0.0716  0.3560  5 Tm 3.50-3.52, 3 Ho 3.51-3.52, 4 Tb 3.51-3.54
Tb  0.7859  0.9284  0.6440  5 Tm 3.50-3.52, 3 Ho 3.51-3.52, 4 Tb 3.51-3.54
Ho  0.0711  0.3579  0.7870  7 Tm 3.50-3.53, 3 Tb 3.51-3.52, 2 Ho 3.51
Ho  0.9289  0.6421  0.2130  7 Tm 3.50-3.53, 3 Tb 3.51-3.52, 2 Ho 3.51
Tm  0.3566  0.7861  0.9289  5 Ho 3.50-3.51, 2 Tb 3.50-3.51, 5 Tm 3.50-3.51
Tm  0.5000  0.5000  0.5000  2 Tm 3.51, 6 Tb 3.51-3.52, 4 Ho 3.52-3.53
Tm  0.6434  0.2139  0.0711  5 Ho 3.50-3.51, 2 Tb 3.50-3.51, 5 Tm 3.50-3.51

***

Record 8
Computed, not measured: a relaxed structure of Na3PdC at the GGA-PBE level of DFT.

Energy relative to the lowest polymorph listed for this composition, meV/atom: 289
D(E_F), states/eV/f.u.: 0.00
Formation enthalpy at 0 K, eV per atom: 1.27
Calculated total energy, eV per atom: -2.409
Theoretical density, g/cm3: 1.93

abc: 5.4411 5.4411 5.4411
angles: 90.00 90.00 90.00
Last column: nearest neighbours and their distance in Å.
Fractional positions:
Na  0.0000  0.0000  0.5000  2 Pd 2.72
Na  0.0000  0.5000  0.0000  2 Pd 2.72
Na  0.5000  0.0000  0.0000  2 Pd 2.72
Pd  0.0000  0.0000  0.0000  6 Na 2.72
C  0.5000  0.5000  0.5000  12 Na 3.85